P | ## KNa2SiPt (PBE-GGA)

Data for a relaxed KNa2SiPt crystal.

extended XYZ file:
```
5
Lattice="5.575 0.000 0.000 0.000 5.575 0.000 0.000 0.000 4.595" Properties=species:S:1:pos:R:3 pbc="T T T"
K 0.000 0.000 0.000
Na 0.000 2.787 2.298
Na 2.787 0.000 2.298
Si 2.787 2.787 2.298
Pt 2.787 2.787 0.000
```

Calculated values
SG	P4/mmm

Q | ## KNa2SiPt (PBE-GGA)

Data for a relaxed KNa2SiPt crystal.

extended XYZ file:
```
5
Lattice="5.585 0.000 0.000 0.000 5.585 0.000 0.000 0.000 4.607" Properties=species:S:1:pos:R:3 pbc="T T T"
K 0.000 0.000 0.000
Na 0.000 2.793 2.304
Na 2.793 0.000 2.304
Si 2.793 2.793 0.000
Pt 2.793 2.793 2.304
```

Calculated values
SG	P4/mmm

Here is how they stack up, most stable first: Q, P.

P | ## KNaTl2Pt (PBE-GGA)

Data for a relaxed KNaTl2Pt crystal.

extended XYZ file:
```
5
Lattice="5.359 0.000 0.000 0.000 5.359 0.000 0.000 0.000 6.123" Properties=species:S:1:pos:R:3 pbc="T T T"
K 0.000 0.000 0.000
Na 2.679 2.679 0.000
Tl 0.000 2.679 3.061
Tl 2.679 0.000 3.061
Pt 0.000 0.000 3.061
```

Calculated values
SG	P4/mmm

Q | ## KNaTl2Pt (PBE-GGA)

Data for a relaxed KNaTl2Pt crystal.

extended XYZ file:
```
10
Lattice="4.494 0.000 0.000 0.000 4.973 0.000 0.000 0.000 13.354" Properties=species:S:1:pos:R:3 pbc="T T T"
K 0.000 0.000 0.000
K 2.247 2.487 6.677
Na 0.000 2.487 9.526
Na 2.247 0.000 2.850
Tl 0.000 0.000 5.216
Tl 0.000 2.487 2.917
Tl 2.247 0.000 9.594
Tl 2.247 2.487 11.893
Pt 0.000 0.000 7.927
Pt 2.247 2.487 1.250
```

Calculated values
SG	Imm2

R | ## KNaTl2Pt (PBE-GGA)

Data for a relaxed KNaTl2Pt crystal.

extended XYZ file:
```
5
Lattice="5.341 0.000 0.000 0.000 5.341 0.000 0.000 0.000 5.682" Properties=species:S:1:pos:R:3 pbc="T T T"
K 0.000 0.000 0.000
Na 2.671 2.671 0.000
Tl 0.000 2.671 2.841
Tl 2.671 0.000 2.841
Pt 2.671 2.671 2.841
```

Calculated values
SG	P4/mmm

Here is how they stack up, most stable first: R, Q, P.

P | ## K2NaZnPt (PBE-GGA)

Data for a relaxed K2NaZnPt crystal.

extended XYZ file:
```
5
Lattice="6.296 0.000 0.000 0.000 6.296 0.000 0.000 0.000 4.891" Properties=species:S:1:pos:R:3 pbc="T T T"
K 0.000 3.148 0.000
K 3.148 0.000 0.000
Na 0.000 0.000 2.445
Zn 3.148 3.148 2.445
Pt 3.148 3.148 0.000
```

Calculated values
SG	P4/mmm

Q | ## K2NaZnPt (PBE-GGA)

Data for a relaxed K2NaZnPt crystal.

extended XYZ file:
```
5
Lattice="6.314 0.000 0.000 0.000 6.314 0.000 0.000 0.000 5.363" Properties=species:S:1:pos:R:3 pbc="T T T"
K 0.000 3.157 0.000
K 3.157 0.000 0.000
Na 0.000 0.000 0.000
Zn 0.000 0.000 2.681
Pt 3.157 3.157 2.681
```

Calculated values
SG	P4/mmm

Here is how they stack up, most stable first: P, Q.

P | ## K5Rb3Na (PBE-GGA)

Data for a relaxed K5Rb3Na crystal.

extended XYZ file:
```
18
Lattice="13.162 0.000 0.000 -6.581 11.399 0.000 0.000 0.000 8.860" Properties=species:S:1:pos:R:3 pbc="T T T"
K -1.741 3.016 2.215
K -4.840 8.382 6.645
K 3.483 0.000 2.215
K 1.741 3.016 6.645
K 0.000 7.599 0.000
K 0.000 7.599 4.430
K 6.581 3.800 0.000
K 6.581 3.800 4.430
K 9.679 0.000 6.645
K 4.840 8.382 2.215
Rb -2.498 4.326 6.645
Rb -4.084 7.073 2.215
Rb 4.995 0.000 6.645
Rb 2.498 4.326 2.215
Rb 8.167 0.000 2.215
Rb 4.084 7.073 6.645
Na 0.000 0.000 0.000
Na 0.000 0.000 4.430
```

Calculated values
SG	P6_3/mcm

Q | ## K5Rb3Na (PBE-GGA)

Data for a relaxed K5Rb3Na crystal.

extended XYZ file:
```
9
Lattice="12.575 0.000 0.000 -6.288 10.890 0.000 0.000 0.000 4.887" Properties=species:S:1:pos:R:3 pbc="T T T"
K -4.599 7.966 0.000
K 1.689 2.925 0.000
K 0.000 7.260 0.000
K 6.288 3.630 0.000
K 9.198 0.000 0.000
Rb -2.324 4.025 2.444
Rb 4.648 0.000 2.444
Rb 3.964 6.865 2.444
Na 0.000 0.000 2.444
```

Calculated values
SG	P-62m

Here is how they stack up, most stable first: Q, P.